An optimized crystal structure of ZnMo2O4, computed with PBE with a Hubbard U. Values from VASP.

Computed properties:
DFT total energy ... -6.439 eV/atom
Total moment ... 0.8571 μB/atom

```
&SYSTEM
  ibrav = 0, nat = 14, ntyp = 3
/
ATOMIC_SPECIES
Zn 65.41 Zn.upf
Mo 95.94 Mo.upf
O 16.00 O.upf
CELL_PARAMETERS angstrom
-4.687 0.247 2.698
3.345 -3.068 -2.951
4.820 -3.071 8.655
ATOMIC_POSITIONS angstrom
Zn -0.320 -1.826 2.637
Zn 3.797 -4.066 5.764
Mo 5.045 -4.390 2.750
Mo -1.568 -1.503 5.652
Mo 6.755 -5.479 5.820
Mo -3.278 -0.414 2.581
O 1.441 -3.242 9.065
O 2.036 -2.651 -0.664
O 3.352 -3.489 1.699
O 0.125 -2.403 6.702
O 6.794 -5.304 3.656
O -3.317 -0.589 4.746
O 1.739 -2.946 4.201
O -0.671 -1.411 -0.127
```